Record 1
PBE Tl2Pt2Au, relaxed; formation energy from the elements = 0.317 eV per atom; calculated total energy = -3.701 eV per atom; size of the total moment = 0.00 μB per cell; relative energy among the computed polymorphs = 1.566 eV/f.u.
1.0
-2.109 2.109 6.200
2.109 -2.109 6.200
2.109 2.109 -6.200
Tl Pt Au
2 2 1
Direct
0.250 0.750 0.500
0.750 0.250 0.500
0.103 0.103 0.000
0.897 0.897 0.000
0.500 0.500 0.000

Record 2
PBE Tl4PtAu, relaxed; formation energy from the elements = 0.545 eV per atom; calculated total energy = -2.586 eV per atom; size of the total moment = 0.00 μB per cell; relative energy among the computed polymorphs = 3.427 eV/f.u.
1.0
0.000 4.358 4.358
4.358 0.000 4.358
4.358 4.358 0.000
Tl Pt Au
4 1 1
Direct
0.125 0.125 0.125
0.125 0.125 0.624
0.125 0.624 0.125
0.624 0.125 0.125
0.500 0.500 0.500
0.750 0.750 0.750

Record 3
PBE Tl2PtAu, relaxed; formation energy from the elements = 0.185 eV per atom; calculated total energy = -3.327 eV per atom; size of the total moment = 0.00 μB per cell; relative energy among the computed polymorphs = 0.778 eV/f.u.
1.0
0.000 3.518 3.518
3.518 0.000 3.518
3.518 3.518 0.000
Tl Pt Au
2 1 1
Direct
0.000 0.000 0.000
0.250 0.250 0.250
0.500 0.500 0.500
0.750 0.750 0.750

Record 4
PBE TlPt3Au, relaxed; formation energy from the elements = 1.082 eV per atom; calculated total energy = -3.672 eV per atom; size of the total moment = 0.00 μB per cell; relative energy among the computed polymorphs = 0.000 eV/f.u.
1.0
5.014 0.000 0.000
0.000 5.014 0.000
0.000 0.000 5.014
Tl Pt Au
1 3 1
Direct
0.000 0.000 0.000
0.000 0.500 0.500
0.500 0.000 0.500
0.500 0.500 0.000
0.500 0.500 0.500

Record 5
PBE Tl2PtAu, relaxed; formation energy from the elements = 0.055 eV per atom; calculated total energy = -3.458 eV per atom; size of the total moment = 0.00 μB per cell; relative energy among the computed polymorphs = 0.256 eV/f.u.
1.0
3.113 0.000 0.000
0.000 3.907 0.000
0.000 0.000 7.663
Tl Pt Au
2 1 1
Direct
0.000 0.000 0.000
0.500 0.500 0.359
0.500 0.500 0.781
0.000 0.000 0.598

Record 6
PBE Tl2PtAu2, relaxed; formation energy from the elements = 0.131 eV per atom; calculated total energy = -3.334 eV per atom; size of the total moment = 0.00 μB per cell; relative energy among the computed polymorphs = 0.000 eV/f.u.
1.0
7.118 0.000 0.000
0.000 7.118 0.000
0.000 0.000 4.508
Tl Pt Au
4 2 4
Direct
0.173 0.327 0.000
0.327 0.827 0.000
0.673 0.173 0.000
0.827 0.673 0.000
0.000 0.000 0.500
0.500 0.500 0.500
0.142 0.642 0.500
0.358 0.142 0.500
0.642 0.858 0.500
0.858 0.358 0.500

Record 7
PBE Tl3PtAu, relaxed; formation energy from the elements = 0.069 eV per atom; calculated total energy = -3.214 eV per atom; size of the total moment = 0.00 μB per cell; relative energy among the computed polymorphs = 0.439 eV/f.u.
1.0
5.345 0.000 0.000
0.000 5.345 0.000
0.000 0.000 5.345
Tl Pt Au
3 1 1
Direct
0.000 0.000 0.500
0.000 0.500 0.000
0.500 0.000 0.000
0.000 0.000 0.000
0.500 0.500 0.500

Record 8
PBE Tl2Pt2Au, relaxed; formation energy from the elements = 0.182 eV per atom; calculated total energy = -3.836 eV per atom; size of the total moment = 0.00 μB per cell; relative energy among the computed polymorphs = 0.889 eV/f.u.
1.0
7.847 0.000 0.000
0.000 7.847 0.000
0.000 0.000 3.304
Tl Pt Au
4 4 2
Direct
0.165 0.335 0.000
0.335 0.835 0.000
0.665 0.165 0.000
0.835 0.665 0.000
0.132 0.632 0.500
0.368 0.132 0.500
0.632 0.868 0.500
0.868 0.368 0.500
0.000 0.000 0.000
0.500 0.500 0.000

Record 9
PBE Tl3PtAu, relaxed; formation energy from the elements = -0.019 eV per atom; calculated total energy = -3.302 eV per atom; size of the total moment = 0.00 μB per cell; relative energy among the computed polymorphs = 0.000 eV/f.u.
1.0
7.133 0.000 0.000
0.000 3.767 0.000
-3.488 0.000 9.623
Tl Pt Au
6 2 2
Direct
0.212 0.250 0.066
0.246 0.250 0.439
0.255 0.750 0.770
0.745 0.250 0.230
0.754 0.750 0.561
0.788 0.750 0.934
0.039 0.750 0.222
0.961 0.250 0.778
0.464 0.750 0.286
0.536 0.250 0.714

Record 10
PBE Tl12Pt3Au5, relaxed; formation energy from the elements = 0.091 eV per atom; calculated total energy = -3.055 eV per atom; size of the total moment = 0.00 μB per cell
1.0
-8.375 8.375 8.375
8.375 -8.375 8.375
8.375 8.375 -8.375
Tl Pt Au
48 12 20
Direct
0.063 0.233 0.131
0.063 0.329 0.931
0.069 0.631 0.398
0.069 0.937 0.671
0.102 0.733 0.671
0.102 0.869 0.431
0.131 0.063 0.233
0.131 0.569 0.898
0.171 0.233 0.602
0.171 0.437 0.569
0.233 0.131 0.063
0.233 0.602 0.171
0.267 0.329 0.898
0.267 0.437 0.369
0.329 0.898 0.267
0.329 0.931 0.063
0.369 0.267 0.437
0.369 0.602 0.931
0.398 0.069 0.631
0.398 0.829 0.767
0.431 0.102 0.869
0.431 0.829 0.563
0.437 0.369 0.267
0.437 0.569 0.171
0.563 0.431 0.829
0.563 0.631 0.733
0.569 0.171 0.437
0.569 0.898 0.131
0.602 0.171 0.233
0.602 0.931 0.369
0.631 0.398 0.069
0.631 0.733 0.563
0.671 0.069 0.937
0.671 0.102 0.733
0.733 0.563 0.631
0.733 0.671 0.102
0.767 0.398 0.829
0.767 0.869 0.937
0.829 0.563 0.431
0.829 0.767 0.398
0.869 0.431 0.102
0.869 0.937 0.767
0.898 0.131 0.569
0.898 0.267 0.329
0.931 0.063 0.329
0.931 0.369 0.602
0.937 0.671 0.069
0.937 0.767 0.869
0.125 0.250 0.375
0.125 0.375 0.750
0.250 0.375 0.125
0.250 0.875 0.625
0.375 0.125 0.250
0.375 0.750 0.125
0.625 0.250 0.875
0.625 0.875 0.750
0.750 0.125 0.375
0.750 0.625 0.875
0.875 0.625 0.250
0.875 0.750 0.625
0.000 0.000 0.000
0.000 0.000 0.500
0.000 0.500 0.000
0.000 0.500 0.500
0.125 0.750 0.875
0.125 0.875 0.250
0.250 0.125 0.875
0.250 0.625 0.375
0.375 0.250 0.625
0.375 0.625 0.750
0.500 0.000 0.000
0.500 0.000 0.500
0.500 0.500 0.000
0.500 0.500 0.500
0.625 0.375 0.250
0.625 0.750 0.375
0.750 0.375 0.625
0.750 0.875 0.125
0.875 0.125 0.750
0.875 0.250 0.125

Record 11
PBE Tl2PtAu, relaxed; formation energy from the elements = 0.091 eV per atom; calculated total energy = -3.421 eV per atom; size of the total moment = 0.00 μB per cell; relative energy among the computed polymorphs = 0.403 eV/f.u.
1.0
3.638 -2.013 0.000
3.638 2.013 0.000
-2.060 0.000 6.524
Tl Pt Au
2 1 1
Direct
0.243 0.243 0.233
0.757 0.757 0.767
0.500 0.500 0.000
0.000 0.000 0.500

Record 12
PBE Tl2PtAu, relaxed; formation energy from the elements = 0.076 eV per atom; calculated total energy = -3.437 eV per atom; size of the total moment = 0.00 μB per cell; relative energy among the computed polymorphs = 0.340 eV/f.u.
1.0
2.092 1.208 6.391
-2.092 1.208 6.391
0.000 -2.416 6.391
Tl Pt Au
2 1 1
Direct
0.000 0.000 0.000
0.182 0.182 0.182
0.594 0.594 0.594
0.756 0.756 0.756

Record 13
PBE Tl2PtAu, relaxed; formation energy from the elements = 0.089 eV per atom; calculated total energy = -3.424 eV per atom; size of the total moment = 0.00 μB per cell; relative energy among the computed polymorphs = 0.392 eV/f.u.
1.0
3.908 0.000 0.000
0.000 4.230 0.000
-0.174 0.000 5.738
Tl Pt Au
2 1 1
Direct
0.000 0.000 0.000
0.500 0.500 0.500
0.000 0.000 0.500
0.500 0.500 0.000

Record 14
PBE Tl2Pt2Au, relaxed; formation energy from the elements = 0.004 eV per atom; calculated total energy = -4.014 eV per atom; size of the total moment = 0.00 μB per cell; relative energy among the computed polymorphs = 0.000 eV/f.u.
1.0
7.261 0.000 0.000
0.000 7.261 0.000
0.000 0.000 3.873
Tl Pt Au
4 4 2
Direct
0.165 0.335 0.000
0.335 0.835 0.000
0.665 0.165 0.000
0.835 0.665 0.000
0.139 0.639 0.500
0.361 0.139 0.500
0.639 0.861 0.500
0.861 0.361 0.500
0.000 0.000 0.500
0.500 0.500 0.500

Record 15
PBE Tl2PtAu, relaxed; formation energy from the elements = 0.126 eV per atom; calculated total energy = -3.387 eV per atom; size of the total moment = 0.00 μB per cell; relative energy among the computed polymorphs = 0.540 eV/f.u.
1.0
3.758 -3.735 0.000
3.758 3.735 0.000
-0.094 0.000 3.080
Tl Pt Au
2 1 1
Direct
0.000 0.500 0.000
0.500 0.000 0.000
0.000 0.000 0.500
0.500 0.500 0.500

Record 16
PBE Tl2PtAu, relaxed; formation energy from the elements = 0.066 eV per atom; calculated total energy = -3.447 eV per atom; size of the total moment = 0.00 μB per cell; relative energy among the computed polymorphs = 0.300 eV/f.u.
1.0
2.212 1.277 6.011
-2.212 1.277 6.011
0.000 -2.554 6.011
Tl Pt Au
2 1 1
Direct
0.000 0.000 0.000
0.206 0.206 0.206
0.737 0.737 0.737
0.455 0.455 0.455

Record 17
PBE Tl4PtAu2, relaxed; formation energy from the elements = 0.130 eV per atom; calculated total energy = -3.021 eV per atom; size of the total moment = 0.00 μB per cell
1.0
-2.619 2.619 8.026
2.619 -2.619 8.026
2.619 2.619 -8.026
Tl Pt Au
4 1 2
Direct
0.000 0.500 0.500
0.161 0.161 0.000
0.500 0.000 0.500
0.839 0.839 0.000
0.500 0.500 0.000
0.333 0.333 0.000
0.667 0.667 0.000

Record 18
PBE TlPt4Au, relaxed; formation energy from the elements = 0.119 eV per atom; calculated total energy = -4.849 eV per atom; size of the total moment = 0.00 μB per cell
1.0
0.000 3.809 3.809
3.809 0.000 3.809
3.809 3.809 0.000
Tl Pt Au
1 4 1
Direct
0.000 0.000 0.000
0.375 0.375 0.375
0.375 0.375 0.874
0.375 0.874 0.375
0.874 0.375 0.375
0.750 0.750 0.750

Record 19
PBE Tl2PtAu, relaxed; formation energy from the elements = 0.053 eV per atom; calculated total energy = -3.460 eV per atom; size of the total moment = 0.00 μB per cell; relative energy among the computed polymorphs = 0.249 eV/f.u.
1.0
6.553 -1.587 0.000
6.553 1.587 0.000
-1.563 0.000 4.381
Tl Pt Au
2 1 1
Direct
0.000 0.000 0.000
0.218 0.218 0.712
0.509 0.509 0.510
0.813 0.813 0.302

Record 20
PBE Tl4Pt2Au3, relaxed; formation energy from the elements = 0.011 eV per atom; calculated total energy = -3.476 eV per atom; size of the total moment = 0.00 μB per cell
1.0
7.801 -2.059 0.000
7.801 2.059 0.000
-2.590 0.000 6.530
Tl Pt Au
4 2 3
Direct
0.085 0.085 0.359
0.262 0.262 0.808
0.738 0.738 0.192
0.915 0.915 0.641
0.110 0.110 0.961
0.890 0.890 0.039
0.412 0.412 0.328
0.500 0.500 0.000
0.588 0.588 0.672

Record 21
PBE Tl4PtAu, relaxed; formation energy from the elements = -0.027 eV per atom; calculated total energy = -3.157 eV per atom; size of the total moment = 0.00 μB per cell; relative energy among the computed polymorphs = 0.000 eV/f.u.
1.0
4.358 -6.402 0.000
4.358 6.402 0.000
-1.385 0.000 5.559
Tl Pt Au
8 2 2
Direct
0.075 0.705 0.942
0.221 0.380 0.607
0.295 0.925 0.558
0.380 0.221 0.107
0.620 0.779 0.893
0.705 0.075 0.442
0.779 0.620 0.393
0.925 0.295 0.058
0.008 0.992 0.250
0.992 0.008 0.750
0.376 0.624 0.250
0.624 0.376 0.750

Record 22
PBE Tl2PtAu, relaxed; formation energy from the elements = 0.144 eV per atom; calculated total energy = -3.369 eV per atom; size of the total moment = 0.00 μB per cell; relative energy among the computed polymorphs = 0.611 eV/f.u.
1.0
-2.181 2.181 4.466
2.181 -2.181 4.466
2.181 2.181 -4.466
Tl Pt Au
2 1 1
Direct
0.000 0.000 0.000
0.750 0.250 0.500
0.500 0.500 0.000
0.250 0.750 0.500

Record 23
PBE TmTlPtAu, relaxed; formation energy from the elements = -0.621 eV per atom; calculated total energy = -4.660 eV per atom; size of the total moment = 0.00 μB per cell
1.0
0.000 3.460 3.460
3.460 0.000 3.460
3.460 3.460 0.000
Tm Tl Pt Au
1 1 1 1
Direct
0.000 0.000 0.000
0.500 0.500 0.500
0.250 0.250 0.250
0.750 0.750 0.750